Record 1
CaZrP: optimized geometry, PBE.

Lattice parameters (Å, degrees): 4.153 4.153 7.740 90.00 90.00 90.00
Atoms (fractional coordinates):
Ca: 0.250 0.250 0.148
Ca: 0.750 0.750 0.852
Zr: 0.250 0.750 0.500
Zr: 0.750 0.250 0.500
P: 0.250 0.250 0.748
P: 0.750 0.750 0.252

Total magnetization in μB/f.u.: 0.00
Volume in Å³/atom: 22.3
Formation energy from the elements in eV per atom: -0.929
DOS(E_F) in states/eV/f.u.: 0.957

Record 2
TlHg4Pb15: optimized geometry, PBE.

Lattice parameters (Å, degrees): 4.863 4.863 25.431 90.00 90.00 90.00
Atoms (fractional coordinates):
Tl: 0.000 0.000 0.000
Hg: 0.000 0.000 0.202
Hg: 0.000 0.000 0.401
Hg: 0.000 0.000 0.599
Hg: 0.000 0.000 0.798
Pb: 0.000 0.500 0.103
Pb: 0.000 0.500 0.302
Pb: 0.000 0.500 0.500
Pb: 0.000 0.500 0.698
Pb: 0.000 0.500 0.897
Pb: 0.500 0.000 0.103
Pb: 0.500 0.000 0.302
Pb: 0.500 0.000 0.500
Pb: 0.500 0.000 0.698
Pb: 0.500 0.000 0.897
Pb: 0.500 0.500 0.000
Pb: 0.500 0.500 0.202
Pb: 0.500 0.500 0.401
Pb: 0.500 0.500 0.599
Pb: 0.500 0.500 0.798

Total magnetization in μB/f.u.: 0.00
Volume in Å³/atom: 30.1
Formation energy from the elements in eV per atom: -0.004
DOS(E_F) in states/eV/f.u.: 3.349

Record 3
CsAsCl3: optimized geometry, PBE.

Lattice parameters (Å, degrees): 8.852 8.748 11.017 90.00 108.82 90.00
Atoms (fractional coordinates):
Cs: 0.145 0.005 0.223
Cs: 0.145 0.495 0.723
Cs: 0.855 0.505 0.277
Cs: 0.855 0.995 0.777
As: 0.497 0.153 0.992
As: 0.497 0.347 0.492
As: 0.503 0.653 0.508
As: 0.503 0.847 0.008
Cl: 0.204 0.196 0.953
Cl: 0.204 0.304 0.453
Cl: 0.212 0.701 0.454
Cl: 0.212 0.799 0.954
Cl: 0.458 0.141 0.780
Cl: 0.458 0.359 0.280
Cl: 0.542 0.641 0.720
Cl: 0.542 0.859 0.220
Cl: 0.788 0.201 0.046
Cl: 0.788 0.299 0.546
Cl: 0.796 0.696 0.547
Cl: 0.796 0.804 0.047

Total magnetization in μB/f.u.: 0.00
Excess energy over the best structure of this formula in the dataset in meV/atom: 0.0
Volume in Å³/atom: 40.4
DOS(E_F) in states/eV/f.u.: 0.000
ΔE_f (raw) in eV per atom: -1.138

Record 4
AlC5: optimized geometry, PBE.

Lattice parameters (Å, degrees): 4.219 4.219 4.219 60.00 60.00 60.00
Atoms (fractional coordinates):
Al: 0.000 0.000 0.000
C: 0.407 0.407 0.407
C: 0.407 0.407 0.778
C: 0.407 0.778 0.407
C: 0.750 0.750 0.750
C: 0.778 0.407 0.407

Total magnetization in μB/f.u.: 0.00
Excess energy over the best structure of this formula in the dataset in meV/atom: 2221.0
Volume in Å³/atom: 8.9
Formation energy from the elements in eV per atom: 2.917
DOS(E_F) in states/eV/f.u.: 1.696

Record 5
K2CoBiSe: optimized geometry, PBE.

Lattice parameters (Å, degrees): 6.960 6.960 5.491 90.00 90.00 90.00
Atoms (fractional coordinates):
K: 0.000 0.500 0.000
K: 0.500 0.000 0.000
Co: 0.000 0.000 0.500
Bi: 0.500 0.500 0.000
Se: 0.500 0.500 0.500

Total magnetization in μB/f.u.: 2.51
Volume in Å³/atom: 53.2
DOS(E_F) in states/eV/f.u.: 4.839
ΔE_f (raw) in eV per atom: 0.617